Record 1
Entry from Alexandria via LeMat-Bulk: Be2Cl at its PBEsol-relaxed geometry (meta-GGA SCAN).

Properties
SG: No. 12
Relative energy among the computed polymorphs, meV/atom: 0
Energy relative to the elements, uncorrected, eV/atom: -0.36

a b c (Å): 3.6278 3.6278 8.1169
angles (deg): 98.19 98.19 61.94
Fractional coordinates of all 6 atoms:
Be: 0.0262 0.0262 0.1159
Be: 0.3366 0.3366 0.0346
Be: 0.6634 0.6634 0.9654
Be: 0.9738 0.9738 0.8841
Cl: 0.2815 0.2815 0.2949
Cl: 0.7185 0.7185 0.7051

***

Record 2
Entry from Alexandria via LeMat-Bulk: Cs2NaYBr6 at its PBEsol-relaxed geometry (meta-GGA SCAN).

Properties
SG: No. 225
Energy relative to the elements, uncorrected, eV/atom: -2.07

a b c (Å): 7.9324 7.9324 7.9324
angles (deg): 60.00 60.00 60.00
Fractional coordinates of all 10 atoms:
Cs: 0.2500 0.2500 0.2500
Cs: 0.7500 0.7500 0.7500
Na: 0.0000 0.0000 0.0000
Y: 0.5000 0.5000 0.5000
Br: 0.2547 0.2547 0.7453
Br: 0.2547 0.7453 0.2547
Br: 0.2547 0.7453 0.7453
Br: 0.7453 0.2547 0.2547
Br: 0.7453 0.2547 0.7453
Br: 0.7453 0.7453 0.2547

***

Record 3
Entry from Alexandria via LeMat-Bulk: Ba3WCl2O5 at its PBEsol-relaxed geometry (meta-GGA SCAN).

Properties
SG: No. 63
Energy relative to the elements, uncorrected, eV/atom: -2.90

a b c (Å): 7.4459 7.4459 11.4842
angles (deg): 90.00 90.00 134.22
Fractional coordinates of all 22 atoms:
Ba: 0.0912 0.9088 0.7500
Ba: 0.3483 0.6517 0.5442
Ba: 0.3483 0.6517 0.9558
Ba: 0.6517 0.3483 0.0442
Ba: 0.6517 0.3483 0.4558
Ba: 0.9088 0.0912 0.2500
W: 0.2454 0.7546 0.2500
W: 0.7546 0.2454 0.7500
Cl: 0.0000 0.0000 0.0000
Cl: 0.0000 0.0000 0.5000
Cl: 0.4933 0.5067 0.2500
Cl: 0.5067 0.4933 0.7500
O: 0.0561 0.4944 0.1361
O: 0.0561 0.4944 0.3639
O: 0.1171 0.8829 0.2500
O: 0.4944 0.0561 0.6361
O: 0.4944 0.0561 0.8639
O: 0.5056 0.9439 0.1361
O: 0.5056 0.9439 0.3639
O: 0.8829 0.1171 0.7500
O: 0.9439 0.5056 0.6361
O: 0.9439 0.5056 0.8639

***

Record 4
Entry from Alexandria via LeMat-Bulk: ZrInBr at its PBEsol-relaxed geometry (meta-GGA SCAN).

Properties
SG: No. 156
Energy relative to the elements, uncorrected, eV/atom: -0.63

a b c (Å): 3.3243 3.3243 7.8082
angles (deg): 90.00 90.00 120.00
Fractional coordinates of all 3 atoms:
Zr: 0.0000 0.0000 0.0000
In: 0.3333 0.6667 0.3054
Br: 0.6667 0.3333 0.7580